A relaxed BeNi2Au crystal, computed with PBE.

Cell and atoms, written as CIF:
```
data_BeNi2Au
_symmetry_space_group_name_H-M 'P 4/m m m'
_symmetry_Int_Tables_number 123
_symmetry_space_group_name_Hall '-P 4 2'
_cell_length_a 2.688
_cell_length_b 2.688
_cell_length_c 6.507
_cell_angle_alpha 90.00
_cell_angle_beta 90.00
_cell_angle_gamma 90.00
loop_
_atom_site_label
_atom_site_fract_x
_atom_site_fract_y
_atom_site_fract_z
Be1 0.000 0.000 0.000
Ni1 0.500 0.500 0.194
Au1 0.000 0.000 0.500
```

ρ (g/cm³): 11.4
Calculated volume (Å³/cell): 47.0
Formation energy (meV/atom): -158
Crystal system: tetragonal